No. 1
Here is BaTaSn after structural relaxation from the Open Quantum Materials Database. Energies are from GGA-PBE.

Calculated values
- Calculated volume: 34.22 Å³/atom
- Total DFT energy (no corrections): -15.2 eV/f.u.

Structure (CIF):
```
data_BaTaSn
_symmetry_space_group_name_H-M 'F -4 3 m'
_symmetry_Int_Tables_number 216
_symmetry_space_group_name_Hall 'F -4 2 3'
_cell_length_a 7.433
_cell_length_b 7.433
_cell_length_c 7.433
_cell_angle_alpha 90.00
_cell_angle_beta 90.00
_cell_angle_gamma 90.00
loop_
_atom_site_label
_atom_site_type_symbol
_atom_site_fract_x
_atom_site_fract_y
_atom_site_fract_z
Ba1 Ba 0.000 0.000 0.000
Ta1 Ta 0.000 0.000 0.500
Sn1 Sn 0.250 0.250 0.250
```

No. 2
Here is NaHg3PtS4 after structural relaxation from the Open Quantum Materials Database. Energies are from GGA-PBE.

Calculated values
- Calculated volume: 25.89 Å³/atom
- Total DFT energy (no corrections): -24.7 eV/f.u.

Structure (CIF):
```
data_NaHg3PtS4
_symmetry_space_group_name_H-M 'P -4 3 m'
_symmetry_Int_Tables_number 215
_symmetry_space_group_name_Hall 'P -4 2 3'
_cell_length_a 6.154
_cell_length_b 6.154
_cell_length_c 6.154
_cell_angle_alpha 90.00
_cell_angle_beta 90.00
_cell_angle_gamma 90.00
loop_
_atom_site_label
_atom_site_type_symbol
_atom_site_fract_x
_atom_site_fract_y
_atom_site_fract_z
Na1 Na 0.000 0.000 0.000
Hg1 Hg 0.000 0.500 0.500
Pt1 Pt 0.500 0.500 0.500
S1 S 0.256 0.256 0.256
```

No. 3
Here is KScNb after structural relaxation from the Open Quantum Materials Database. Energies are from GGA-PBE.

Calculated values
- Calculated volume: 35.32 Å³/atom
- Total DFT energy (no corrections): -12.4 eV/f.u.

Structure (CIF):
```
data_KScNb
_symmetry_space_group_name_H-M 'F -4 3 m'
_symmetry_Int_Tables_number 216
_symmetry_space_group_name_Hall 'F -4 2 3'
_cell_length_a 7.511
_cell_length_b 7.511
_cell_length_c 7.511
_cell_angle_alpha 90.00
_cell_angle_beta 90.00
_cell_angle_gamma 90.00
loop_
_atom_site_label
_atom_site_type_symbol
_atom_site_fract_x
_atom_site_fract_y
_atom_site_fract_z
K1 K 0.000 0.000 0.000
Sc1 Sc 0.000 0.000 0.500
Nb1 Nb 0.250 0.250 0.750
```

No. 4
Here is CsCo3Si5 after structural relaxation from the Open Quantum Materials Database. Energies are from GGA-PBE.

Calculated values
- Calculated volume: 19.72 Å³/atom
- Total DFT energy (no corrections): -50.5 eV/f.u.

Structure (CIF):
```
data_CsCo3Si5
_symmetry_space_group_name_H-M 'P 6/m m m'
_symmetry_Int_Tables_number 191
_symmetry_space_group_name_Hall '-P 6 2'
_cell_length_a 4.7308
_cell_length_b 4.7308
_cell_length_c 9.1555
_cell_angle_alpha 90.00
_cell_angle_beta 90.00
_cell_angle_gamma 120.00
loop_
_atom_site_label
_atom_site_type_symbol
_atom_site_fract_x
_atom_site_fract_y
_atom_site_fract_z
Cs1 Cs 0.0000 0.0000 0.0000
Co1 Co 0.0000 0.5000 0.5000
Si1 Si 0.0000 0.0000 0.5000
Si2 Si 0.3333 0.6667 0.2929
```

What did the fourth record say?
Here is CsCo3Si5 after structural relaxation from the Open Quantum Materials Database. Energies are from GGA-PBE.

Calculated values
- Calculated volume: 19.72 Å³/atom
- Total DFT energy (no corrections): -50.5 eV/f.u.

Structure (CIF):
```
data_CsCo3Si5
_symmetry_space_group_name_H-M 'P 6/m m m'
_symmetry_Int_Tables_number 191
_symmetry_space_group_name_Hall '-P 6 2'
_cell_length_a 4.7308
_cell_length_b 4.7308
_cell_length_c 9.1555
_cell_angle_alpha 90.00
_cell_angle_beta 90.00
_cell_angle_gamma 120.00
loop_
_atom_site_label
_atom_site_type_symbol
_atom_site_fract_x
_atom_site_fract_y
_atom_site_fract_z
Cs1 Cs 0.0000 0.0000 0.0000
Co1 Co 0.0000 0.5000 0.5000
Si1 Si 0.0000 0.0000 0.5000
Si2 Si 0.3333 0.6667 0.2929
```

Among the records above, which one has the lowest calculated volume? CsCo3Si5